[1]
Density functional theory data (PBE) for an optimized crystal structure of Nd8MgPb6.

a = 8.5757 Å, b = 8.5757 Å, c = 8.5757 Å
α = 67.80°, β = 67.80°, γ = 67.80°
With the nearest neighbours (Å) after each atom.
Fractional coordinates of all 15 atoms:
Nd  0.1178  0.6975  0.3986  5 Pb 3.19-3.41, 1 Mg 3.35
Nd  0.1683  0.1683  0.1683  6 Pb 3.35-3.42
Nd  0.3025  0.6014  0.8822  5 Pb 3.19-3.41, 1 Mg 3.35
Nd  0.3986  0.1178  0.6975  5 Pb 3.19-3.41, 1 Mg 3.35
Nd  0.6014  0.8822  0.3025  5 Pb 3.19-3.41, 1 Mg 3.35
Nd  0.6975  0.3986  0.1178  5 Pb 3.19-3.41, 1 Mg 3.35
Nd  0.8317  0.8317  0.8317  6 Pb 3.35-3.42
Nd  0.8822  0.3025  0.6014  5 Pb 3.19-3.41, 1 Mg 3.35
Mg  0.5000  0.5000  0.5000  6 Nd 3.35
Pb  0.0600  0.4290  0.7886  7 Nd 3.19-3.42
Pb  0.2114  0.9400  0.5710  7 Nd 3.19-3.42
Pb  0.4290  0.7886  0.0600  7 Nd 3.19-3.42
Pb  0.5710  0.2114  0.9400  7 Nd 3.19-3.42
Pb  0.7886  0.0600  0.4290  7 Nd 3.19-3.42
Pb  0.9400  0.5710  0.2114  7 Nd 3.19-3.42

## Properties
space group	R-3
M_tot	0.000	μB per cell
VASP energy	-4.53	eV/atom
E_form	-5.90	eV/f.u.

---

[2]
Density functional theory data (PBE) for an optimized crystal structure of ZnNiBr2.

a = 8.1059 Å, b = 8.1059 Å, c = 8.1059 Å
α = 156.19°, β = 153.64°, γ = 35.82°
With the nearest neighbours (Å) after each atom.
Fractional coordinates of all 4 atoms:
Zn  0.0000  0.0000  0.0000  2 Ni 2.57, 4 Br 2.79
Ni  0.1265  0.6265  0.5000  4 Br 2.55, 2 Zn 2.57
Br  0.4195  0.4195  0.0000  4 Zn 2.79
Br  0.6620  0.1620  0.5000  4 Ni 2.55

## Properties
space group	Imm2
formation energy from raw total energies	-24	meV/atom
M_tot	0.000	μB per cell
VASP energy	-2.62	eV/atom

---

[3]
Density functional theory data (PBE) for an optimized crystal structure of CaCe2H.

a = 10.0603 Å, b = 10.0603 Å, c = 10.0603 Å
α = 19.41°, β = 19.41°, γ = 19.41°
With the nearest neighbours (Å) after each atom.
Fractional coordinates of all 4 atoms:
Ca  0.0000  0.0000  0.0000  6 Ca 3.39, 2 Ce 3.40
Ce  0.1149  0.1149  0.1149  3 H 2.49
Ce  0.8851  0.8851  0.8851  3 H 2.49
H  0.5000  0.5000  0.5000  6 Ce 2.49

## Properties
space group	R-3m
M_tot	1.778	μB per cell
VASP energy	-4.26	eV/atom

---

[4]
Density functional theory data (PBE) for an optimized crystal structure of NaP4Ru2O14.

a = 4.8737 Å, b = 6.9852 Å, c = 8.1804 Å
α = 90.99°, β = 92.85°, γ = 105.46°
With the nearest neighbours (Å) after each atom.
Fractional coordinates of all 21 atoms:
Na  0.0000  0.0000  0.0000  4 O 2.33-2.53
P  0.1466  0.3647  0.2613  4 O 1.52-1.60
P  0.1702  0.6263  0.7775  4 O 1.52-1.61
P  0.5447  0.7562  0.3245  4 O 1.53-1.62
P  0.7726  0.2366  0.7127  4 O 1.52-1.62
Ru  0.1587  0.9947  0.5189  6 O 1.99-2.04
Ru  0.6569  0.4930  0.0198  6 O 1.98-2.08
O  0.0047  0.6782  0.9213  1 P 1.55
O  0.0344  0.1862  0.3656  1 P 1.52
O  0.2830  0.8042  0.6731  1 P 1.52
O  0.3041  0.3096  0.1149  1 P 1.55
O  0.3509  0.8973  0.3326  1 P 1.54
O  0.3670  0.5349  0.3716  2 P 1.60-1.62
O  0.4158  0.5390  0.8304  1 P 1.53
O  0.5222  0.1971  0.5863  1 P 1.52
O  0.6270  0.7482  0.1446  1 P 1.55
O  0.7005  0.2430  0.8946  1 P 1.55
O  0.7936  0.7948  0.4528  1 P 1.53
O  0.8977  0.4496  0.2097  1 P 1.53
O  0.9521  0.4561  0.6643  2 P 1.61-1.62
O  0.9640  0.0924  0.7063  1 P 1.55

## Properties
space group	P1
formation energy from raw total energies	-1802	meV/atom
M_tot	3.006	μB per cell
VASP energy	-7.08	eV/atom

---

[5]
Density functional theory data (PBE) for an optimized crystal structure of Cs2HgS.

a = 8.0842 Å, b = 8.0842 Å, c = 8.0842 Å
α = 104.54°, β = 104.54°, γ = 119.86°
With the nearest neighbours (Å) after each atom.
Fractional coordinates of all 8 atoms:
Cs  0.0646  0.6250  0.9396  2 S 3.27
Cs  0.3750  0.3146  0.4396  2 S 3.27
Cs  0.6854  0.1250  0.0604  2 S 3.27
Cs  0.8750  0.9354  0.5604  2 S 3.27
Hg  0.2500  0.7500  0.5000  2 S 4.05, 8 Cs 4.07-4.34
Hg  0.5000  0.5000  0.0000  2 S 4.05, 8 Cs 4.07-4.34
S  0.0000  0.0000  0.0000  4 Cs 3.27
S  0.7500  0.2500  0.5000  4 Cs 3.27

## Properties
space group	I-42d
formation energy from raw total energies	-587	meV/atom
M_tot	0.001	μB per cell
VASP energy	-2.12	eV/atom

---

[6]
Density functional theory data (PBE) for an optimized crystal structure of Ti2CuSb2.

a = 7.1342 Å, b = 7.1342 Å, c = 3.8229 Å
α = 90.00°, β = 90.00°, γ = 90.00°
With the nearest neighbours (Å) after each atom.
Fractional coordinates of all 10 atoms:
Ti  0.1442  0.3558  0.0000  2 Cu 2.74, 6 Sb 2.75-2.89, 1 Ti 2.91
Ti  0.3558  0.8558  0.0000  2 Cu 2.74, 6 Sb 2.75-2.89, 1 Ti 2.91
Ti  0.6442  0.1442  0.0000  2 Cu 2.74, 6 Sb 2.75-2.89, 1 Ti 2.91
Ti  0.8558  0.6442  0.0000  2 Cu 2.74, 6 Sb 2.75-2.89, 1 Ti 2.91
Cu  0.0000  0.0000  0.0000  4 Ti 2.74
Cu  0.5000  0.5000  0.0000  4 Ti 2.74
Sb  0.1594  0.6594  0.5000  6 Ti 2.75-2.89
Sb  0.3406  0.1594  0.5000  6 Ti 2.75-2.89
Sb  0.6594  0.8406  0.5000  6 Ti 2.75-2.89
Sb  0.8406  0.3406  0.5000  6 Ti 2.75-2.89

## Properties
space group	P4/mbm
formation energy from raw total energies	-173	meV/atom
M_tot	0.000	μB per cell
VASP energy	-5.80	eV/atom

---

[7]
Density functional theory data (PBE) for an optimized crystal structure of MgZr2TcF.

a = 5.1638 Å, b = 5.1638 Å, c = 4.4333 Å
α = 90.00°, β = 90.00°, γ = 90.00°
With the nearest neighbours (Å) after each atom.
Fractional coordinates of all 5 atoms:
Mg  0.0000  0.0000  0.0000  2 Tc 2.22
Zr  0.0000  0.5000  0.0000  2 Mg 2.58
Zr  0.5000  0.0000  0.0000  2 Mg 2.58
Tc  0.0000  0.0000  0.5000  2 Mg 2.22
F  0.5000  0.5000  0.5000  8 Zr 3.40, 4 Tc 3.65

## Properties
space group	P4/mmm
formation energy from raw total energies	1266	meV/atom
M_tot	0.338	μB per cell
VASP energy	-4.92	eV/atom

---

[8]
Density functional theory data (PBE) for an optimized crystal structure of Cu5Ir4.

a = 5.8888 Å, b = 5.8888 Å, c = 5.8888 Å
α = 96.13°, β = 96.13°, γ = 141.84°
With the nearest neighbours (Å) after each atom.
Fractional coordinates of all 9 atoms:
Cu  0.0000  0.0000  0.0000  4 Ir 2.62, 8 Cu 2.65
Cu  0.3364  0.3364  0.6728  6 Cu 2.58-2.72, 6 Ir 2.65-2.67
Cu  0.3364  0.6636  0.0000  6 Cu 2.58-2.72, 6 Ir 2.65-2.67
Cu  0.6636  0.3364  0.0000  6 Cu 2.58-2.72, 6 Ir 2.65-2.67
Cu  0.6636  0.6636  0.3272  6 Cu 2.58-2.72, 6 Ir 2.65-2.67
Ir  0.0000  0.3325  0.3325  7 Cu 2.62-2.67, 5 Ir 2.64-2.68
Ir  0.0000  0.6675  0.6675  7 Cu 2.62-2.67, 5 Ir 2.64-2.68
Ir  0.3325  0.0000  0.3325  7 Cu 2.62-2.67, 5 Ir 2.64-2.68
Ir  0.6675  0.0000  0.6675  7 Cu 2.62-2.67, 5 Ir 2.64-2.68

## Properties
space group	I4/mmm
M_tot	0.000	μB per cell
VASP energy	-6.08	eV/atom
E_form	1.23	eV/f.u.

---

[9]
Density functional theory data (PBE) for an optimized crystal structure of Ce3Ga4Cl.

a = 7.9312 Å, b = 7.9312 Å, c = 7.9312 Å
α = 119.43°, β = 119.43°, γ = 91.00°
With the nearest neighbours (Å) after each atom.
Fractional coordinates of all 16 atoms:
Ce  0.1595  0.6595  0.8191  2 Cl 3.01, 6 Ga 3.10-3.25
Ce  0.2500  0.2500  0.0000  2 Cl 2.78
Ce  0.3405  0.1595  0.5000  2 Cl 3.01, 6 Ga 3.10-3.25
Ce  0.6595  0.8405  0.5000  2 Cl 3.01, 6 Ga 3.10-3.25
Ce  0.7500  0.7500  0.0000  2 Cl 2.78
Ce  0.8405  0.3405  0.1809  2 Cl 3.01, 6 Ga 3.10-3.25
Ga  0.0502  0.8377  0.5000  3 Ga 2.62-2.71
Ga  0.1623  0.6623  0.2124  3 Ga 2.62-2.71
Ga  0.3377  0.5502  0.5000  3 Ga 2.62-2.71
Ga  0.4498  0.9498  0.7876  3 Ga 2.62-2.71
Ga  0.5502  0.0502  0.2124  3 Ga 2.62-2.71
Ga  0.6623  0.4498  0.5000  3 Ga 2.62-2.71
Ga  0.8377  0.3377  0.7876  3 Ga 2.62-2.71
Ga  0.9498  0.1623  0.5000  3 Ga 2.62-2.71
Cl  0.0000  0.0000  0.0000  6 Ce 2.78-3.01
Cl  0.5000  0.5000  0.0000  6 Ce 2.78-3.01

## Properties
space group	I4/mcm
formation energy from raw total energies	-874	meV/atom
M_tot	4.918	μB per cell
VASP energy	-4.84	eV/atom

---

[10]
Density functional theory data (PBE) for an optimized crystal structure of Li2ZnHg7.

a = 4.4899 Å, b = 4.4899 Å, c = 13.6994 Å
α = 90.00°, β = 90.00°, γ = 120.00°
With the nearest neighbours (Å) after each atom.
Fractional coordinates of all 10 atoms:
Li  0.0000  0.0000  0.0000  7 Hg 2.76-3.07
Li  0.3333  0.6667  0.6936  8 Hg 2.79-2.92
Zn  0.6667  0.3333  0.3895  7 Hg 2.84-3.14
Hg  0.0000  0.0000  0.3056  3 Zn 2.84, 3 Hg 3.06
Hg  0.0000  0.0000  0.7759  4 Li 2.83-3.07, 3 Hg 3.15
Hg  0.3333  0.6667  0.1872  6 Hg 3.06
Hg  0.3333  0.6667  0.4828  1 Li 2.89, 3 Zn 2.89, 3 Hg 3.19
Hg  0.3333  0.6667  0.9068  4 Li 2.89-2.92, 3 Hg 3.15
Hg  0.6667  0.3333  0.0686  3 Li 2.76, 3 Hg 3.06
Hg  0.6667  0.3333  0.6187  3 Li 2.79

## Properties
space group	P3m1
M_tot	0.000	μB per cell
VASP energy	-0.80	eV/atom
E_form	-0.82	eV/f.u.

---

[11]
Density functional theory data (PBE) for an optimized crystal structure of Al3MoRu.

a = 4.5821 Å, b = 4.5821 Å, c = 4.5821 Å
α = 90.00°, β = 90.00°, γ = 90.00°
With the nearest neighbours (Å) after each atom.
Fractional coordinates of all 5 atoms:
Al  0.0000  0.0000  0.5000  2 Ru 2.29
Al  0.0000  0.5000  0.0000  2 Ru 2.29
Al  0.5000  0.0000  0.0000  2 Ru 2.29
Mo  0.5000  0.5000  0.5000  12 Al 3.24
Ru  0.0000  0.0000  0.0000  6 Al 2.29

## Properties
space group	Pm-3m
M_tot	3.202	μB per cell
VASP energy	-5.73	eV/atom
E_form	2.66	eV/f.u.

---

[12]
Density functional theory data (PBE) for an optimized crystal structure of InReP.

a = 5.6096 Å, b = 5.6096 Å, c = 5.6096 Å
α = 147.56°, β = 147.56°, γ = 46.54°
With the nearest neighbours (Å) after each atom.
Fractional coordinates of all 3 atoms:
In  0.0000  0.0000  0.0000  5 Re 3.01-3.12, 5 P 3.05-3.06, 4 In 3.13
Re  0.3025  0.3025  0.0000  4 P 2.44
P  0.7033  0.7033  0.0000  4 Re 2.44

## Properties
space group	I4mm
M_tot	0.000	μB per cell
VASP energy	-6.78	eV/atom
E_form	0.24	eV/f.u.